Below is an optimized crystal structure of Cd5Mo3O12, with properties calculated at the GGA+U level.

Calculated values
DOS(E_F) = 29.76 states/eV/cell
E = -107.48 eV per formula unit

extended XYZ file:
```
80
Lattice="-12.018 -1.987 2.489 2.028 -1.571 -12.165 6.951 -8.054 6.434" Properties=species:S:1:pos:R:3 pbc="T T T"
Mo -7.384 -3.086 -1.891
Mo -8.126 -3.923 -6.142
Mo 1.359 -6.957 -4.170
Mo -0.144 -3.713 1.514
Mo -8.525 -3.949 2.265
Mo -1.501 -3.740 -5.062
Mo -1.537 -7.871 1.819
Mo 5.486 -7.663 -5.508
Mo -2.895 -7.898 -4.757
Mo -4.398 -4.655 0.927
Mo 5.087 -7.688 2.899
Mo 4.345 -8.525 -1.352
Cd 0.996 -2.851 -2.642
Cd 1.014 -0.785 -6.083
Cd 0.000 0.000 0.000
Cd -3.131 -2.145 -1.304
Cd -2.533 -5.020 4.461
Cd -4.995 -1.779 -4.838
Cd 2.625 -4.446 -6.400
Cd -2.678 -8.734 5.975
Cd -5.139 -5.492 -3.324
Cd 0.960 -6.982 4.238
Cd -3.999 -4.630 -7.481
Cd -1.519 -5.806 -1.621
Cd -6.009 -0.994 1.244
Cd 3.476 -4.027 3.217
Cd 2.101 -6.119 0.081
Cd -0.361 -2.878 -9.218
Cd 4.490 -4.812 -2.866
Cd -5.664 -7.165 3.157
Cd 0.092 -9.467 -1.939
Cd -4.035 -8.761 -0.600
O -7.107 -1.893 -0.565
O -1.252 -4.348 -3.380
O -8.503 -5.238 1.001
O -4.779 -2.892 0.833
O 0.161 -6.812 -2.826
O -9.474 -3.832 -4.945
O 0.873 -6.563 -5.863
O -0.455 -1.998 1.044
O -1.759 -7.733 -6.151
O -6.098 -2.868 -3.139
O -7.224 -4.855 -1.567
O -8.748 -3.385 -7.749
O 2.661 -5.733 -3.913
O 3.649 -8.767 2.730
O -7.594 -5.632 -5.902
O -1.635 -6.734 3.217
O -10.155 -3.233 1.970
O -3.209 -3.176 -5.222
O -8.140 -4.701 3.861
O -0.141 -2.560 -5.185
O 4.261 -8.989 -5.472
O -2.694 -6.856 -3.296
O -4.541 -7.390 -5.295
O -9.108 -2.729 -2.294
O -0.345 -4.755 0.053
O 1.503 -4.222 2.052
O 6.069 -8.882 -0.949
O 5.101 -6.910 -7.104
O -7.300 -2.623 2.229
O -2.898 -9.052 1.942
O 0.170 -8.436 1.979
O -1.403 -4.878 -6.460
O 7.117 -8.379 -5.213
O 4.555 -5.979 2.659
O -5.700 -5.879 0.670
O 5.709 -8.227 4.506
O -6.688 -2.845 -5.973
O -1.280 -3.878 2.908
O 3.059 -8.744 -0.104
O 4.185 -6.756 -1.676
O -2.584 -9.613 -4.287
O -3.912 -5.048 2.620
O 1.740 -8.719 -4.076
O 6.435 -7.779 1.702
O -3.200 -4.800 -0.417
O 5.464 -6.374 -4.244
O -1.786 -7.264 0.137
O 4.068 -9.719 -2.678
```